w) A plane-wave DFT calculation with GGA-PBE was carried out for a relaxed Sr2CoCu crystal.

Structure (POSCAR):
```
Sr2CoCu
1.0
-1.895 1.303 -5.748
3.668 -1.293 -4.816
-2.166 -2.825 5.064
Co Cu Sr
1 1 2
Direct
0.500 0.500 0.000 Co
0.750 0.250 0.500 Cu
0.250 0.750 0.500 Sr
0.000 0.000 0.000 Sr
```

Calculated values
space group = No. 119
ρ = 4.79 g/cm3
N(E_F) = 5.2 states/eV/f.u.

x) A plane-wave DFT calculation with GGA-PBE was carried out for a relaxed Sr2CoCu crystal.

Structure (POSCAR):
```
Sr2CoCu
1.0
1.656 -4.918 0.844
-3.479 -3.930 0.304
-0.281 -3.566 -3.853
Cu Sr Co
1 2 1
Direct
0.500 0.500 0.500 Cu
0.250 0.250 0.250 Sr
0.750 0.750 0.750 Sr
0.000 0.000 0.000 Co
```

Calculated values
space group = No. 225
ρ = 4.81 g/cm3
N(E_F) = 4.2 states/eV/f.u.

Which structure wins on stability? x) wins.

w) A plane-wave DFT calculation with GGA-PBE was carried out for a relaxed Sr2CoCu crystal.

Structure (POSCAR):
```
Sr2CoCu
1.0
-3.201 2.776 -2.836
-2.084 -2.009 -4.198
-4.970 -1.136 -0.086
Co Sr Cu
1 2 1
Direct
0.500 0.500 0.500 Co
0.000 0.000 0.000 Sr
0.750 0.750 0.750 Sr
0.250 0.250 0.250 Cu
```

Calculated values
space group = No. 216
ρ = 5.27 g/cm3
N(E_F) = 8.7 states/eV/f.u.

x) A plane-wave DFT calculation with GGA-PBE was carried out for a relaxed Sr2CoCu crystal.

Structure (POSCAR):
```
Sr2CoCu
1.0
4.286 0.000 0.000
0.000 4.483 0.126
0.000 2.080 5.724
Co Cu Sr
1 1 2
Direct
0.000 0.671 0.533 Co
0.500 0.577 0.722 Cu
0.000 0.985 0.904 Sr
0.500 0.267 0.341 Sr
```

Calculated values
space group = No. 38
ρ = 4.54 g/cm3
N(E_F) = 5.9 states/eV/f.u.

Which structure wins on stability? x) wins.

w) A plane-wave DFT calculation with GGA-PBE was carried out for a relaxed TaCoCu crystal.

Structure (POSCAR):
```
TaCoCu
1.0
-3.602 1.224 2.618
-1.741 -0.814 4.199
0.841 2.322 2.004
Ta Co Cu
1 1 1
Direct
0.657 0.657 0.343 Ta
0.006 0.006 0.994 Co
0.337 0.337 0.663 Cu
```

Calculated values
space group = No. 107
ρ = 12.34 g/cm3
N(E_F) = 2.5 states/eV/f.u.

x) A plane-wave DFT calculation with GGA-PBE was carried out for a relaxed TaCoCu crystal.

Structure (POSCAR):
```
TaCoCu
1.0
-1.133 -3.037 2.667
3.711 -0.197 -1.951
1.125 1.340 2.004
Ta Co Cu
1 1 1
Direct
0.333 0.667 0.697 Ta
0.000 0.000 0.073 Co
0.667 0.333 0.231 Cu
```

Calculated values
space group = No. 156
ρ = 12.41 g/cm3
N(E_F) = 3.1 states/eV/f.u.

Which structure wins on stability? w) wins.

w) A plane-wave DFT calculation with GGA-PBE was carried out for a relaxed TaCoCu crystal.

Structure (POSCAR):
```
TaCoCu
1.0
-0.037 1.882 -3.557
-1.870 -1.677 -3.144
-3.419 1.599 -1.395
Co Cu Ta
1 1 1
Direct
0.750 0.750 0.750 Co
0.000 0.000 0.000 Cu
0.500 0.500 0.500 Ta
```

Calculated values
space group = No. 216
ρ = 10.93 g/cm3
N(E_F) = 2.9 states/eV/f.u.

x) A plane-wave DFT calculation with GGA-PBE was carried out for a relaxed TaCoCu crystal.

Structure (POSCAR):
```
TaCoCu
1.0
4.652 0.000 0.000
0.000 2.666 0.000
-2.326 -1.333 6.849
Ta Cu Co
2 2 2
Direct
0.324 0.824 0.648 Ta
0.676 0.176 0.352 Ta
0.255 0.500 0.000 Cu
0.745 0.500 0.000 Cu
0.847 0.347 0.693 Co
0.153 0.653 0.307 Co
```

Calculated values
space group = No. 71
ρ = 11.86 g/cm3
N(E_F) = 1.6 states/eV/f.u.

y) A plane-wave DFT calculation with GGA-PBE was carried out for a relaxed TaCoCu crystal.

Structure (POSCAR):
```
TaCoCu
1.0
-0.978 3.921 0.703
-3.901 1.043 0.719
-1.147 1.186 3.756
Ta Co Cu
1 1 1
Direct
0.750 0.750 0.750 Ta
0.000 0.000 0.000 Co
0.500 0.500 0.500 Cu
```

Calculated values
space group = No. 216
ρ = 10.32 g/cm3
N(E_F) = 3.4 states/eV/f.u.

Which structure wins on stability? x) wins.

w) A plane-wave DFT calculation with GGA-PBE was carried out for a relaxed Ta2Co2Cu crystal.

Structure (POSCAR):
```
Ta2Co2Cu
1.0
7.290 0.000 0.000
0.000 7.290 0.000
0.000 0.000 2.786
Co Ta Cu
4 4 2
Direct
0.864 0.364 0.500 Co
0.636 0.864 0.500 Co
0.136 0.636 0.500 Co
0.364 0.136 0.500 Co
0.157 0.343 0.000 Ta
0.343 0.843 0.000 Ta
0.843 0.657 0.000 Ta
0.657 0.157 0.000 Ta
0.000 0.000 0.000 Cu
0.500 0.500 0.000 Cu
```

Calculated values
space group = No. 127
ρ = 12.19 g/cm3
N(E_F) = 3.7 states/eV/f.u.

x) A plane-wave DFT calculation with GGA-PBE was carried out for a relaxed Ta2Co2Cu crystal.

Structure (POSCAR):
```
Ta2Co2Cu
1.0
6.869 0.000 0.000
0.000 6.869 0.000
0.000 0.000 3.006
Ta Cu Co
4 2 4
Direct
0.329 0.171 0.500 Ta
0.171 0.671 0.500 Ta
0.829 0.329 0.500 Ta
0.671 0.829 0.500 Ta
0.000 0.000 0.000 Cu
0.500 0.500 0.000 Cu
0.370 0.870 0.000 Co
0.630 0.130 0.000 Co
0.870 0.630 0.000 Co
0.130 0.370 0.000 Co
```

Calculated values
space group = No. 127
ρ = 12.72 g/cm3
N(E_F) = 6.2 states/eV/f.u.

Which structure wins on stability? x) wins.

w) A plane-wave DFT calculation with GGA-PBE was carried out for a relaxed Tb4Co2Cu crystal.

Structure (POSCAR):
```
Tb4Co2Cu
1.0
6.671 -0.074 -1.883
1.473 6.506 -1.886
-0.007 -0.003 7.381
Co Tb Cu
4 8 2
Direct
0.336 0.336 0.701 Co
0.433 0.926 0.618 Co
0.926 0.433 0.618 Co
0.338 0.338 0.191 Co
0.153 0.621 0.970 Tb
0.119 0.119 0.825 Tb
0.615 0.615 0.827 Tb
0.126 0.126 0.349 Tb
0.621 0.153 0.970 Tb
0.634 0.164 0.475 Tb
0.164 0.634 0.475 Tb
0.617 0.617 0.342 Tb
0.830 0.830 0.695 Cu
0.837 0.837 0.193 Cu
```

Calculated values
space group = No. 8
ρ = 8.45 g/cm3
N(E_F) = 6.0 states/eV/f.u.

x) A plane-wave DFT calculation with GGA-PBE was carried out for a relaxed Tb4Co2Cu crystal.

Structure (POSCAR):
```
Tb4Co2Cu
1.0
7.296 -1.064 -0.153
-1.579 7.203 0.155
-2.746 -3.180 6.063
Tb Co Cu
8 4 2
Direct
0.862 0.615 0.122 Tb
0.758 0.135 0.747 Tb
0.388 0.011 0.253 Tb
0.262 0.138 0.753 Tb
0.989 0.242 0.378 Tb
0.864 0.612 0.623 Tb
0.385 0.508 0.247 Tb
0.493 0.740 0.878 Tb
0.496 0.375 0.621 Co
0.754 0.875 0.378 Co
0.625 0.248 0.123 Co
0.125 0.502 0.877 Co
0.001 0.001 0.000 Cu
0.248 0.748 0.500 Cu
```

Calculated values
space group = No. 5
ρ = 8.79 g/cm3
N(E_F) = 5.3 states/eV/f.u.

Which structure wins on stability? w) wins.

w) A plane-wave DFT calculation with GGA-PBE was carried out for a relaxed Tb12Co6Cu crystal.

Structure (POSCAR):
```
Tb12Co6Cu
1.0
-6.561 -4.210 1.788
3.742 0.048 7.068
-2.969 7.424 -0.192
Co Tb Cu
6 12 1
Direct
0.613 0.307 0.135 Co
0.387 0.693 0.865 Co
0.135 0.613 0.307 Co
0.693 0.865 0.387 Co
0.865 0.387 0.693 Co
0.307 0.135 0.613 Co
0.913 0.062 0.670 Tb
0.062 0.670 0.913 Tb
0.435 0.823 0.589 Tb
0.823 0.589 0.435 Tb
0.565 0.177 0.411 Tb
0.670 0.913 0.062 Tb
0.087 0.938 0.330 Tb
0.938 0.330 0.087 Tb
0.411 0.565 0.177 Tb
0.589 0.435 0.823 Tb
0.330 0.087 0.938 Tb
0.177 0.411 0.565 Tb
0.000 0.000 0.000 Cu
```

Calculated values
space group = No. 148
ρ = 8.05 g/cm3
N(E_F) = 13.7 states/eV/f.u.

x) A plane-wave DFT calculation with GGA-PBE was carried out for a relaxed Tb12Co6Cu crystal.

Structure (POSCAR):
```
Tb12Co6Cu
1.0
-6.927 4.342 -1.662
-1.959 -8.027 1.154
3.578 3.010 6.909
Co Tb Cu
6 12 1
Direct
0.114 0.614 0.500 Co
0.886 0.386 0.500 Co
0.386 0.500 0.886 Co
0.500 0.886 0.386 Co
0.500 0.114 0.614 Co
0.614 0.500 0.114 Co
0.504 0.806 0.698 Tb
0.806 0.302 0.107 Tb
0.496 0.194 0.302 Tb
0.194 0.698 0.893 Tb
0.302 0.496 0.194 Tb
0.698 0.893 0.194 Tb
0.806 0.698 0.504 Tb
0.893 0.194 0.698 Tb
0.194 0.302 0.496 Tb
0.107 0.806 0.302 Tb
0.302 0.107 0.806 Tb
0.698 0.504 0.806 Tb
0.000 0.000 0.000 Cu
```

Calculated values
space group = No. 204
ρ = 8.63 g/cm3
N(E_F) = 13.6 states/eV/f.u.

Which structure wins on stability? x) wins.

w) A plane-wave DFT calculation with GGA-PBE was carried out for a relaxed TbTmCoCu crystal.

Structure (POSCAR):
```
TbTmCoCu
1.0
-4.756 0.484 -0.202
-2.400 -1.536 -3.844
-2.813 -3.858 0.320
Tm Cu Co Tb
1 1 1 1
Direct
0.500 0.500 0.500 Tm
0.250 0.250 0.250 Cu
0.750 0.750 0.750 Co
0.000 0.000 0.000 Tb
```

Calculated values
space group = No. 216
ρ = 9.65 g/cm3
N(E_F) = 3.3 states/eV/f.u.

x) A plane-wave DFT calculation with GGA-PBE was carried out for a relaxed TbTmCoCu crystal.

Structure (POSCAR):
```
TbTmCoCu
1.0
-1.461 3.437 0.577
-2.755 -0.647 -3.127
-2.566 -3.676 3.021
Co Tm Cu Tb
1 1 1 1
Direct
0.428 0.000 0.855 Co
0.861 0.500 0.723 Tm
0.568 0.500 0.135 Cu
0.143 0.000 0.287 Tb
```

Calculated values
space group = No. 38
ρ = 9.26 g/cm3
N(E_F) = 3.2 states/eV/f.u.

Which structure wins on stability? x) wins.

w) A plane-wave DFT calculation with GGA-PBE was carried out for a relaxed Co3CuTc crystal.

Structure (POSCAR):
```
Co3CuTc
1.0
-1.398 -0.833 -3.899
-3.888 -0.630 1.528
-0.883 4.094 -0.558
Co Tc Cu
3 1 1
Direct
0.000 0.000 0.500 Co
0.500 0.000 0.000 Co
0.000 0.500 0.000 Co
0.500 0.500 0.500 Tc
0.000 0.000 0.000 Cu
```

Calculated values
space group = No. 221
ρ = 7.45 g/cm3
N(E_F) = 11.4 states/eV/f.u.

x) A plane-wave DFT calculation with GGA-PBE was carried out for a relaxed Co3CuTc crystal.

Structure (POSCAR):
```
Co3CuTc
1.0
-4.342 0.110 -0.462
0.260 -3.005 -3.160
-0.397 -3.168 2.981
Co Cu Tc
3 1 1
Direct
0.500 0.000 0.000 Co
0.000 0.500 0.000 Co
0.000 0.000 0.500 Co
0.500 0.500 0.500 Cu
0.000 0.000 0.000 Tc
```

Calculated values
space group = No. 221
ρ = 6.74 g/cm3
N(E_F) = 6.3 states/eV/f.u.

Which structure wins on stability? w) wins.

w) A plane-wave DFT calculation with GGA-PBE was carried out for a relaxed CoCu2Tc crystal.

Structure (POSCAR):
```
CoCu2Tc
1.0
-1.344 1.871 1.013
-1.827 -1.629 0.585
3.421 -1.327 6.991
Cu Tc Co
2 1 1
Direct
0.000 0.000 0.987 Cu
0.000 0.000 0.513 Cu
0.500 0.500 0.250 Tc
0.500 0.500 0.750 Co
```

Calculated values
space group = No. 123
ρ = 9.43 g/cm3
N(E_F) = 3.5 states/eV/f.u.

x) A plane-wave DFT calculation with GGA-PBE was carried out for a relaxed CoCu2Tc crystal.

Structure (POSCAR):
```
CoCu2Tc
1.0
4.245 0.000 0.000
0.000 2.481 -0.014
0.000 0.923 4.760
Co Cu Tc
1 2 1
Direct
0.500 0.750 0.750 Co
0.000 0.931 0.992 Cu
0.000 0.569 0.508 Cu
0.500 0.250 0.250 Tc
```

Calculated values
space group = No. 10
ρ = 9.40 g/cm3
N(E_F) = 4.2 states/eV/f.u.

Which structure wins on stability? w) wins.

w) A plane-wave DFT calculation with GGA-PBE was carried out for a relaxed CoCu2Tc crystal.

Structure (POSCAR):
```
CoCu2Tc
1.0
2.471 0.000 0.000
0.000 3.934 0.000
0.000 0.000 5.144
Co Tc Cu
1 1 2
Direct
0.500 0.500 0.750 Co
0.500 0.500 0.250 Tc
0.000 0.000 0.994 Cu
0.000 0.000 0.506 Cu
```

Calculated values
space group = No. 47
ρ = 9.43 g/cm3
N(E_F) = 4.4 states/eV/f.u.

x) A plane-wave DFT calculation with GGA-PBE was carried out for a relaxed CoCu2Tc crystal.

Structure (POSCAR):
```
CoCu2Tc
1.0
-3.003 2.360 -2.632
0.014 -1.282 -4.458
-0.294 -2.267 4.036
Cu Co Tc
2 1 1
Direct
0.500 0.500 0.000 Cu
0.000 0.000 0.000 Cu
0.750 0.250 0.500 Co
0.250 0.750 0.500 Tc
```

Calculated values
space group = No. 139
ρ = 9.45 g/cm3
N(E_F) = 5.6 states/eV/f.u.

Which structure wins on stability? w) wins.

w) A plane-wave DFT calculation with GGA-PBE was carried out for a relaxed CoCu2Tc crystal.

Structure (POSCAR):
```
CoCu2Tc
1.0
4.924 -0.006 0.001
2.267 4.371 -0.001
-3.010 -3.148 2.298
Cu Tc Co
2 1 1
Direct
0.004 0.004 0.000 Cu
0.759 0.259 0.500 Cu
0.489 0.489 0.000 Tc
0.248 0.748 0.500 Co
```

Calculated values
space group = No. 44
ρ = 9.53 g/cm3
N(E_F) = 4.1 states/eV/f.u.

x) A plane-wave DFT calculation with GGA-PBE was carried out for a relaxed CoCu2Tc crystal.

Structure (POSCAR):
```
CoCu2Tc
1.0
2.072 -3.369 1.113
-1.966 -3.111 1.828
-0.583 -3.531 -2.019
Co Cu Tc
1 2 1
Direct
0.000 0.000 0.000 Co
0.250 0.250 0.250 Cu
0.750 0.750 0.750 Cu
0.500 0.500 0.500 Tc
```

Calculated values
space group = No. 225
ρ = 9.62 g/cm3
N(E_F) = 5.2 states/eV/f.u.

Which structure wins on stability? w) wins.